First-principles (PBE-GGA) data for a geometry-optimized CoMoP2N structure, as listed in Alexandria.

```
CoMoP2N
1.0
4.5917 0.0000 0.0000
0.0000 4.5917 0.0000
0.0000 0.0000 3.3177
Co Mo P N
1 1 2 1
Direct
0.0000 0.0000 0.0000 Co
0.5000 0.5000 0.5000 Mo
0.0000 0.5000 0.0000 P
0.5000 0.0000 0.0000 P
0.0000 0.0000 0.5000 N
```

Results
- Symmetry: No. 123

First-principles (PBE-GGA) data for a geometry-optimized CoMoPbN2 structure, as listed in Alexandria.

```
CoMoPbN2
1.0
3.8048 0.0000 0.0000
0.0000 3.8048 0.0000
0.0000 0.0000 5.1751
Co Mo Pb N
1 1 1 2
Direct
0.0000 0.0000 0.0000 Co
0.0000 0.0000 0.5000 Mo
0.5000 0.5000 0.5000 Pb
0.0000 0.5000 0.0000 N
0.5000 0.0000 0.0000 N
```

Results
- Symmetry: No. 123

First-principles (PBE-GGA) data for a geometry-optimized CoMo2PtN structure, as listed in Alexandria.

```
CoMo2PtN
1.0
4.0830 0.0000 0.0000
0.0000 4.0830 0.0000
0.0000 0.0000 3.8672
Co Mo Pt N
1 2 1 1
Direct
0.0000 0.0000 0.0000 Co
0.0000 0.5000 0.5000 Mo
0.5000 0.0000 0.5000 Mo
0.5000 0.5000 0.0000 Pt
0.0000 0.0000 0.5000 N
```

Results
- Symmetry: No. 123

First-principles (PBE-GGA) data for a geometry-optimized Pu2CoMoN5 structure, as listed in Alexandria.

```
Pu2CoMoN5
1.0
1.5961 -6.3218 0.0000
1.5961 6.3218 0.0000
0.0000 0.0000 10.0176
Pu Co Mo N
4 2 2 10
Direct
0.1033 0.8967 0.5000 Pu
0.1465 0.8535 0.1255 Pu
0.8535 0.1465 0.6255 Pu
0.8967 0.1033 0.0000 Pu
0.4746 0.5254 0.2722 Co
0.5254 0.4746 0.7722 Co
0.1993 0.8007 0.8312 Mo
0.8007 0.1993 0.3312 Mo
0.0506 0.9494 0.8805 N
0.2831 0.7169 0.4730 N
0.3246 0.6754 0.1866 N
0.3684 0.6316 0.8128 N
0.4851 0.5149 0.5907 N
0.5149 0.4851 0.0907 N
0.6316 0.3684 0.3128 N
0.6754 0.3246 0.6866 N
0.7169 0.2831 0.9730 N
0.9494 0.0506 0.3805 N
```

Results
- Symmetry: No. 36

First-principles (PBE-GGA) data for a geometry-optimized CoRe2MoN structure, as listed in Alexandria.

```
CoRe2MoN
1.0
4.6885 0.0000 0.0000
0.0000 4.6885 0.0000
0.0000 0.0000 4.4134
Co Re Mo N
1 2 1 1
Direct
0.0000 0.0000 0.0000 Co
0.0000 0.5000 0.5000 Re
0.5000 0.0000 0.5000 Re
0.0000 0.0000 0.5000 Mo
0.5000 0.5000 0.0000 N
```

Results
- Symmetry: No. 123

First-principles (PBE-GGA) data for a geometry-optimized Co2MoRuN structure, as listed in Alexandria.

```
Co2MoRuN
1.0
3.7652 0.0000 0.0000
0.0000 3.7652 0.0000
0.0000 0.0000 4.0562
Co Mo Ru N
2 1 1 1
Direct
0.0000 0.5000 0.0000 Co
0.5000 0.0000 0.0000 Co
0.0000 0.0000 0.5000 Mo
0.5000 0.5000 0.5000 Ru
0.0000 0.0000 0.0000 N
```

Results
- Symmetry: No. 123

First-principles (PBE-GGA) data for a geometry-optimized CoMoS2N structure, as listed in Alexandria.

```
CoMoS2N
1.0
4.8081 0.0000 0.0000
0.0000 4.8081 0.0000
0.0000 0.0000 3.7643
Co Mo S N
1 1 2 1
Direct
0.0000 0.0000 0.0000 Co
0.5000 0.5000 0.5000 Mo
0.0000 0.5000 0.5000 S
0.5000 0.0000 0.5000 S
0.5000 0.5000 0.0000 N
```

Results
- Symmetry: No. 123
- Relative energy among the computed polymorphs: 0.000 eV/atom

First-principles (PBE-GGA) data for a geometry-optimized CoMoS2N structure, as listed in Alexandria.

```
CoMoS2N
1.0
4.6263 0.0000 0.0000
0.0000 4.6263 0.0000
0.0000 0.0000 3.3514
Co Mo S N
1 1 2 1
Direct
0.0000 0.0000 0.0000 Co
0.5000 0.5000 0.5000 Mo
0.0000 0.5000 0.0000 S
0.5000 0.0000 0.0000 S
0.0000 0.0000 0.5000 N
```

Results
- Symmetry: No. 123
- Relative energy among the computed polymorphs: 0.033 eV/atom

First-principles (PBE-GGA) data for a geometry-optimized CoMoSN2 structure, as listed in Alexandria.

```
CoMoSN2
1.0
3.8381 0.0000 0.0000
0.0000 3.8381 0.0000
0.0000 0.0000 5.0907
Co Mo S N
1 1 1 2
Direct
0.0000 0.0000 0.0000 Co
0.5000 0.5000 0.5000 Mo
0.5000 0.5000 0.0000 S
0.0000 0.5000 0.5000 N
0.5000 0.0000 0.5000 N
```

Results
- Symmetry: No. 123
- Relative energy among the computed polymorphs: 0.000 eV/atom

First-principles (PBE-GGA) data for a geometry-optimized CoMoSN2 structure, as listed in Alexandria.

```
CoMoSN2
1.0
3.6652 0.0000 0.0000
0.0000 3.6652 0.0000
0.0000 0.0000 4.4464
Co Mo S N
1 1 1 2
Direct
0.0000 0.0000 0.0000 Co
0.5000 0.5000 0.5000 Mo
0.0000 0.0000 0.5000 S
0.0000 0.5000 0.0000 N
0.5000 0.0000 0.0000 N
```

Results
- Symmetry: No. 123
- Relative energy among the computed polymorphs: 0.365 eV/atom

First-principles (PBE-GGA) data for a geometry-optimized CoSb2MoN structure, as listed in Alexandria.

```
CoSb2MoN
1.0
4.7948 0.0000 0.0000
0.0000 4.7948 0.0000
0.0000 0.0000 3.5449
Co Sb Mo N
1 2 1 1
Direct
0.0000 0.0000 0.0000 Co
0.0000 0.5000 0.5000 Sb
0.5000 0.0000 0.5000 Sb
0.5000 0.5000 0.0000 Mo
0.0000 0.0000 0.5000 N
```

Results
- Symmetry: No. 123

First-principles (PBE-GGA) data for a geometry-optimized CoMoSeN2 structure, as listed in Alexandria.

```
CoMoSeN2
1.0
3.8473 0.0000 0.0000
0.0000 3.8473 0.0000
0.0000 0.0000 5.3971
Co Mo Se N
1 1 1 2
Direct
0.0000 0.0000 0.0000 Co
0.5000 0.5000 0.5000 Mo
0.5000 0.5000 0.0000 Se
0.0000 0.5000 0.5000 N
0.5000 0.0000 0.5000 N
```

Results
- Symmetry: No. 123
- Relative energy among the computed polymorphs: 0.000 eV/atom

In order of appearance, uncorrected formation energy = 0.69, 1.47, -0.18, -0.66, 3.20, 0.07, 0.57, 0.60, 0.71, 1.07, 0.56, 0.70 eV/atom.